one | This record from Alexandria describes a relaxed HgPdF4 crystal. The functional is GGA-PBE.

Calculated values
The theoretical density is 6.63 g/cm³.

Unit cell a=7.141 b=4.889 c=6.279 alpha=90.00 beta=118.91 gamma=90.00
Space group C2/m (No. 12)
One atom of each set of equivalent atoms:
Hg 0.000 0.000 0.000
Pd 0.000 0.500 0.500
F 0.105 0.500 0.859
F 0.185 0.000 0.395


two | This record from Alexandria describes a relaxed HgPdF4 crystal. The functional is GGA-PBE.

Calculated values
The theoretical density is 6.26 g/cm³.

Unit cell a=7.251 b=7.251 c=7.733 alpha=90.00 beta=90.00 gamma=90.00
Space group I4_1/amd (No. 141, origin choice 2)
One atom of each set of equivalent atoms:
Hg 0.000 0.250 0.375
Pd 0.000 0.250 0.875
F 0.000 0.068 0.664


three | This record from Alexandria describes a relaxed HgPdF4 crystal. The functional is GGA-PBE.

Calculated values
The density of states at the Fermi level comes out at 0.05 states/eV per atom. The theoretical density is 7.25 g/cm³.

Unit cell a=5.667 b=5.529 c=5.606 alpha=90.00 beta=92.24 gamma=90.00
Space group P2_1/c (No. 14)
One atom of each set of equivalent atoms:
Hg 0.000 0.000 0.000
Pd 0.500 0.000 0.500
F 0.170 0.163 0.362
F 0.340 0.684 0.305


In eV/atom, relative to the most stable structure: one 0.000; two 0.142; three 0.006.


one | This record from Alexandria describes a relaxed Hg3PdF crystal. The functional is GGA-PBE.

Calculated values
The density of states at the Fermi level comes out at 0.36 states/eV per atom. The theoretical density is 8.31 g/cm³.

Unit cell a=5.257 b=5.257 c=5.257 alpha=90.00 beta=90.00 gamma=90.00
Space group Pm-3m (No. 221)
One atom of each set of equivalent atoms:
Hg 0.000 0.000 0.500
Pd 0.000 0.000 0.000
F 0.500 0.500 0.500


two | This record from Alexandria describes a relaxed Hg3PdF crystal. The functional is GGA-PBE.

Calculated values
The density of states at the Fermi level comes out at 1.37 states/eV per atom. The theoretical density is 10.75 g/cm³.

Unit cell a=4.824 b=4.824 c=4.824 alpha=90.00 beta=90.00 gamma=90.00
Space group Pm-3m (No. 221)
One atom of each set of equivalent atoms:
Hg 0.000 0.000 0.500
Pd 0.500 0.500 0.500
F 0.000 0.000 0.000


In eV/atom, relative to the most stable structure: one 0.000; two 0.360.


one | This record from Alexandria describes a relaxed HgPdF3 crystal. The functional is GGA-PBE.

Calculated values
The density of states at the Fermi level comes out at 1.07 states/eV per atom. The theoretical density is 7.73 g/cm³.

Unit cell a=4.277 b=4.277 c=4.277 alpha=90.00 beta=90.00 gamma=90.00
Space group Pm-3m (No. 221)
One atom of each set of equivalent atoms:
Hg 0.000 0.000 0.000
Pd 0.500 0.500 0.500
F 0.000 0.500 0.500


two | This record from Alexandria describes a relaxed HgPdF3 crystal. The functional is GGA-PBE.

Calculated values
The density of states at the Fermi level comes out at 0.43 states/eV per atom. The theoretical density is 7.02 g/cm³.

Unit cell a=7.036 b=3.501 c=7.278 alpha=90.00 beta=106.19 gamma=90.00
Space group P2_1/m (No. 11)
One atom of each set of equivalent atoms:
Hg 0.156 0.250 0.361
Pd 0.426 0.250 0.177
F 0.069 0.250 0.655
F 0.326 0.750 0.005
F 0.474 0.250 0.657


In eV/atom, relative to the most stable structure: one 0.090; two 0.000.


one | This record from Alexandria describes a relaxed HgPdF3 crystal. The functional is GGA-PBE.

Calculated values
The density of states at the Fermi level comes out at 0.42 states/eV per atom. The theoretical density is 6.98 g/cm³.

Unit cell a=4.132 b=5.719 c=7.665 alpha=73.86 beta=84.22 gamma=88.44
Space group P-1 (No. 2)
One atom of each set of equivalent atoms:
Hg 0.179 0.328 0.092
Pd 0.481 0.188 0.575
F 0.022 0.820 0.403
F 0.441 0.956 0.834
F 0.489 0.565 0.675


two | This record from Alexandria describes a relaxed HgPdF3 crystal. The functional is GGA-PBE.

Calculated values
The density of states at the Fermi level comes out at 3.83 states/eV per atom. The theoretical density is 6.54 g/cm³.

Unit cell a=4.521 b=4.521 c=4.521 alpha=90.00 beta=90.00 gamma=90.00
Space group Pm-3m (No. 221)
One atom of each set of equivalent atoms:
Hg 0.000 0.000 0.000
Pd 0.500 0.500 0.500
F 0.000 0.000 0.500


In eV/atom, relative to the most stable structure: one 0.000; two 0.469.


one | This record from Alexandria describes a relaxed HgPd2F8 crystal. The functional is GGA-PBE.

Calculated values
The density of states at the Fermi level comes out at 0.35 states/eV per atom. The theoretical density is 5.27 g/cm³.

Unit cell a=7.0434 b=7.0434 c=4.1455 alpha=90.00 beta=90.00 gamma=120.00
Space group P-3 (No. 147)
One atom of each set of equivalent atoms:
Hg 0.0000 0.0000 0.0000
Pd 0.3333 0.6667 0.2508
F 0.1663 0.8302 0.2586
F 0.3333 0.6667 0.7514


two | This record from Alexandria describes a relaxed HgPd2F8 crystal. The functional is GGA-PBE.

Calculated values
The density of states at the Fermi level comes out at 0.15 states/eV per atom. The theoretical density is 5.32 g/cm³.

Unit cell a=10.703 b=6.420 c=5.199 alpha=90.00 beta=98.59 gamma=90.00
Space group C2/m (No. 12)
One atom of each set of equivalent atoms:
Hg 0.000 0.000 0.000
Pd 0.239 0.500 0.492
F 0.109 0.500 0.708
F 0.110 0.000 0.697
F 0.163 0.236 0.273


In eV/atom, relative to the most stable structure: one 0.132; two 0.000.


one | This record from Alexandria describes a relaxed PmHgF crystal. The functional is GGA-PBE.

Calculated values
The density of states at the Fermi level comes out at 0.28 states/eV per atom. The theoretical density is 9.90 g/cm³.

Unit cell a=3.757 b=3.757 c=17.330 alpha=90.00 beta=90.00 gamma=90.00
Space group I4/mmm (No. 139)
One atom of each set of equivalent atoms:
Pm 0.000 0.000 0.098
Hg 0.000 0.000 0.299
F 0.000 0.500 0.000


two | This record from Alexandria describes a relaxed PmHgF crystal. The functional is GGA-PBE.

Calculated values
The density of states at the Fermi level comes out at 0.61 states/eV per atom. The theoretical density is 8.90 g/cm³.

Unit cell a=3.450 b=3.450 c=11.434 alpha=90.00 beta=90.00 gamma=90.00
Space group I4mm (No. 107)
One atom of each set of equivalent atoms:
Pm 0.000 0.000 0.000
Hg 0.000 0.000 0.721
F 0.000 0.000 0.463


In eV/atom, relative to the most stable structure: one 0.000; two 0.338.